! Tb2ErMn PBE-GGA relaxed; values from VASP
! Formation energy from the elements, eV per atom: 0.51
! Energy relative to the lowest polymorph listed for this composition, meV per atom: 377
! Total magnetization, μB/f.u.: 3.15
! SG: No. 166
&SYSTEM
  ibrav = 0, nat = 4, ntyp = 3
/
ATOMIC_SPECIES
Mn 54.94 Mn.upf
Tb 158.93 Tb.upf
Er 167.26 Er.upf
ATOMIC_POSITIONS angstrom
Mn 0.0000 0.0000 0.0000
Tb 1.6933 0.9776 8.5276
Tb 5.0799 2.9329 2.7791
Er 3.3866 1.9553 5.6534
CELL_PARAMETERS angstrom
3.3866 0.0000 0.0000
1.6933 2.9329 0.0000
1.6933 0.9776 11.3068